No. 1
Here is a geometry-optimized CaPm12Rh6 structure from the Alexandria database. Energies are from PBE.

a b c (Å): 10.302 10.302 10.302
angles (deg): 90.00 90.00 90.00
Space group Im-3 (No. 204)
Asymmetric unit:
Ca1 0.000 0.000 0.000 x2
Pm1 0.000 0.188 0.311 x24
Rh1 0.000 0.368 0.500 x12

Calculated values
- Calculated formation energy: -43.41 kJ/mol of atoms
- Magnetization: 0.000 μB/f.u.
- Calculated total energy: -0.4320 Ry/atom
- Mass density: 7.28 g cm⁻³
- Energy above the lowest structure with this stoichiometry: 0.0 meV per atom

No. 2
Here is a geometry-optimized Ce2NpAs3 structure from the Alexandria database. Energies are from PBE.

a b c (Å): 4.188 5.912 12.538
angles (deg): 90.00 90.00 90.00
Space group Immm (No. 71)
Asymmetric unit:
Ce1 0.000 0.000 0.168 x4
Np1 0.000 0.000 0.500 x2
As1 0.000 0.500 0.163 x4
As2 0.000 0.500 0.500 x2

Calculated values
- Calculated formation energy: -112.91 kJ/mol of atoms
- Magnetization: 5.413 μB/f.u.
- Calculated total energy: -0.5608 Ry/atom
- Mass density: 7.94 g cm⁻³

No. 3
Here is a geometry-optimized Y3Ho5N8 structure from the Alexandria database. Energies are from PBE.

a b c (Å): 6.9224 6.9224 16.9550
angles (deg): 90.00 90.00 120.00
Space group R-3m (No. 166, hexagonal axes)
Asymmetric unit:
Y1 0.0000 0.5000 0.0000 x9
Ho1 0.0000 0.0000 0.0000 x3
Ho2 0.0000 0.0000 0.5000 x3
Ho3 0.0000 0.5000 0.5000 x9
N1 0.0000 0.0000 0.2492 x6
N2 0.0010 0.5005 0.7505 x18

Calculated values
- Magnetization: 0.000 μB/f.u.
- Calculated total energy: -0.6270 Ry/atom
- Mass density: 8.52 g cm⁻³

No. 4
Here is a geometry-optimized KCrCd structure from the Alexandria database. Energies are from PBE.

a b c (Å): 7.806 7.806 7.806
angles (deg): 90.00 90.00 90.00
Space group F-43m (No. 216)
Asymmetric unit:
K1 0.000 0.000 0.000 x4
Cr1 0.250 0.250 0.250 x4
Cd1 0.250 0.250 0.750 x4

Calculated values
- Calculated formation energy: 104.11 kJ/mol of atoms
- Magnetization: 5.224 μB/f.u.
- Calculated total energy: -0.2058 Ry/atom
- Mass density: 2.84 g cm⁻³
- Energy above the lowest structure with this stoichiometry: 494.1 meV per atom

No. 5
Here is a geometry-optimized KBiMo3 structure from the Alexandria database. Energies are from PBE.

a b c (Å): 4.707 4.707 4.707
angles (deg): 90.00 90.00 90.00
Space group Pm-3m (No. 221)
Asymmetric unit:
K1 0.000 0.000 0.000 x1
Bi1 0.500 0.500 0.500 x1
Mo1 0.000 0.000 0.500 x3

Calculated values
- Calculated formation energy: 286.02 kJ/mol of atoms
- Magnetization: 3.126 μB/f.u.
- Calculated total energy: -0.3329 Ry/atom
- Mass density: 8.53 g cm⁻³
- Energy above the lowest structure with this stoichiometry: 611.9 meV per atom

No. 6
Here is a geometry-optimized Sr2IrSe structure from the Alexandria database. Energies are from PBE.

a b c (Å): 4.381 4.402 11.218
angles (deg): 90.00 90.00 90.00
Space group Amm2 (No. 38)
Asymmetric unit:
Sr1 0.000 0.000 0.000 x2
Sr2 0.500 0.000 0.279 x2
Ir1 0.000 0.000 0.704 x2
Se1 0.500 0.000 0.574 x2

Calculated values
- Magnetization: 0.000 μB/f.u.
- Calculated total energy: -0.3398 Ry/atom
- Mass density: 6.85 g cm⁻³

No. 7
Here is a geometry-optimized In2SnHg8 structure from the Alexandria database. Energies are from PBE.

a b c (Å): 3.311 8.632 10.386
angles (deg): 90.00 84.14 82.60
Space group P-1 (No. 2)
Asymmetric unit:
In1 0.194 0.047 0.138 x2
Sn1 0.500 0.500 0.500 x1
Hg1 0.060 0.415 0.227 x2
Hg2 0.196 0.224 0.690 x2
Hg3 0.355 0.860 0.591 x2
Hg4 0.358 0.684 0.037 x2

Calculated values
- Calculated formation energy: 2.34 kJ/mol of atoms
- Magnetization: 0.000 μB/f.u.
- Calculated total energy: -0.0777 Ry/atom
- Mass density: 11.08 g cm⁻³
- Energy above the lowest structure with this stoichiometry: 0.0 meV per atom

No. 8
Here is a geometry-optimized NdDyIn6 structure from the Alexandria database. Energies are from PBE.

a b c (Å): 4.678 4.678 9.347
angles (deg): 90.00 90.00 90.00
Space group P4/mmm (No. 123)
Asymmetric unit:
Nd1 0.000 0.000 0.000 x1
Dy1 0.000 0.000 0.500 x1
In1 0.000 0.500 0.255 x4
In2 0.500 0.500 0.000 x1
In3 0.500 0.500 0.500 x1

Calculated values
- Calculated formation energy: -42.75 kJ/mol of atoms
- Magnetization: 0.000 μB/f.u.
- Calculated total energy: -0.2696 Ry/atom
- Mass density: 8.08 g cm⁻³
- Energy above the lowest structure with this stoichiometry: 0.0 meV per atom

- Among the records above, which one has the highest mass density?
  In2SnHg8

- Which value of mass density does entry 4 give?
  2.84 g cm⁻³